Entry 1:
## ScIn2Ga2 (SCAN)

Data for a crystal of ScIn2Ga2 relaxed with PBEsol.

abc: 8.3326 8.3326 8.3326
angles: 154.24 154.24 36.74
Fractional positions:
Sc (0.0000, 0.0000, 0.0000)
In (0.3974, 0.3974, 0.0000)
In (0.6026, 0.6026, 0.0000)
Ga (0.2500, 0.7500, 0.5000)
Ga (0.7500, 0.2500, 0.5000)

Formation energy   -87 meV per atom
Density   6.3 Mg/m³
Total DFT energy (no corrections)   -114.14 eV per cell


Entry 2:
## Zn13Co (SCAN)

Data for a crystal of Zn13Co relaxed with PBEsol.

abc: 6.4348 6.4348 5.0002
angles: 99.37 99.37 70.04
Fractional positions:
Zn (0.0000, 0.0000, 0.0000)
Zn (0.0033, 0.6439, 0.1995)
Zn (0.2189, 0.6266, 0.6805)
Zn (0.2221, 0.2221, 0.3718)
Zn (0.3561, 0.9967, 0.8005)
Zn (0.3734, 0.7811, 0.3195)
Zn (0.3866, 0.3866, 0.0681)
Zn (0.6134, 0.6134, 0.9319)
Zn (0.6266, 0.2189, 0.6805)
Zn (0.6439, 0.0033, 0.1995)
Zn (0.7779, 0.7779, 0.6282)
Zn (0.7811, 0.3734, 0.3195)
Zn (0.9967, 0.3561, 0.8005)
Co (0.0000, 0.0000, 0.5000)

Formation energy   -47 meV per atom
Density   7.9 Mg/m³
Total DFT energy (no corrections)   -193.67 eV per cell


Entry 3:
## Sr2SiBr (SCAN)

Data for a crystal of Sr2SiBr relaxed with PBEsol.

abc: 5.6097 5.6097 3.5546
angles: 90.00 90.00 90.00
Fractional positions:
Sr (0.0000, 0.5000, 0.0000)
Sr (0.5000, 0.0000, 0.0000)
Si (0.0000, 0.0000, 0.5000)
Br (0.5000, 0.5000, 0.5000)

Density   4.2 Mg/m³
Raw formation energy   -0.970 eV per atom
Total DFT energy (no corrections)   -77.91 eV per cell


Entry 4:
## FeSiSb2I (SCAN)

Data for a crystal of FeSiSb2I relaxed with PBEsol.

abc: 5.1563 5.1563 5.2450
angles: 90.00 90.00 90.00
Fractional positions:
Fe (0.0000, 0.0000, 0.0000)
Si (0.5000, 0.5000, 0.5000)
Sb (0.0000, 0.5000, 0.5000)
Sb (0.5000, 0.0000, 0.5000)
I (0.5000, 0.5000, 0.0000)

Density   5.4 Mg/m³
Raw formation energy   1.127 eV per atom
Total DFT energy (no corrections)   -133.78 eV per cell


Number 1: size of the total moment 0.000 μB per cell. Number 2: size of the total moment 0.000 μB per cell. Number 3: size of the total moment 0.000 μB per cell. Number 4: size of the total moment 3.548 μB per cell.